# 1
First-principles (GGA-PBE) data for a geometry-optimized SrBe2Cl structure, as listed in Alexandria via LeMat-Bulk.

Lattice parameters (Å, degrees): 6.553 6.553 6.553 145.45 145.18 49.86
Positions (direct):
Sr1 0.000 0.000 0.000
Be1 0.250 0.750 0.500
Be2 0.750 0.250 0.500
Cl1 0.500 0.500 0.000

Results
The calculation puts the volume at 22.67 Å³ per atom. Its energy above the lowest structure with this stoichiometry is 305 meV/atom. For the formation energy (no corrections), the calculation gives 0.143 eV/atom. For the spin magnetization, the calculation gives 0.00 μB per formula unit. The calculation puts the density of states at the Fermi level at 0.580 states/eV per atom. The total energy comes out at -10.410 eV/cell.

---

# 2
First-principles (GGA-PBE) data for a geometry-optimized Pa3GeRh structure, as listed in Alexandria via LeMat-Bulk.

Lattice parameters (Å, degrees): 3.717 7.669 8.136 85.72 86.19 76.48
Positions (direct):
Pa1 0.075 0.434 0.275
Pa2 0.266 0.997 0.664
Pa3 0.375 0.684 0.078
Pa4 0.625 0.316 0.922
Pa5 0.734 0.003 0.336
Pa6 0.925 0.566 0.725
Ge1 0.389 0.695 0.446
Ge2 0.611 0.305 0.554
Rh1 0.201 0.097 0.093
Rh2 0.799 0.903 0.907

Results
The calculation puts the volume at 22.46 Å³ per atom. As for the formation energy: -40.6 kJ per mole of atoms. For the spin magnetization, the calculation gives 0.00 μB per formula unit. The calculation puts the density of states at the Fermi level at 1.627 states/eV per atom. The total energy comes out at -85.121 eV/cell.

---

# 3
First-principles (GGA-PBE) data for a geometry-optimized KAg2HgCl8 structure, as listed in Alexandria via LeMat-Bulk.

Lattice parameters (Å, degrees): 8.598 8.598 8.598 131.63 131.63 70.82
Positions (direct):
K1 0.000 0.000 0.000
Ag1 0.500 0.500 0.000
Ag2 0.750 0.250 0.500
Hg1 0.250 0.750 0.500
Cl1 0.046 0.429 0.994
Cl2 0.185 0.418 0.596
Cl3 0.411 0.815 0.233
Cl4 0.435 0.052 0.006
Cl5 0.571 0.565 0.616
Cl6 0.582 0.178 0.767
Cl7 0.822 0.589 0.404
Cl8 0.948 0.954 0.384

Results
The calculation puts the volume at 28.98 Å³ per atom. For the formation energy (no corrections), the calculation gives -0.554 eV/atom. For the spin magnetization, the calculation gives 0.00 μB per formula unit. The calculation puts the density of states at the Fermi level at 0.559 states/eV per atom. The total energy comes out at -28.528 eV/cell.

---

Q: Look up the volume of the third one.
A: 28.98 Å³ per atom